DFT (PBE) results for an optimized crystal structure of Ca2FeMoIr.

formation energy from the elements = 6.4 eV per formula unit
space-group type = P4/mmm
E = -5.15 eV/atom

Unit cell a=5.378 b=5.378 c=4.683 alpha=90.00 beta=90.00 gamma=90.00
Last column: magnetic moment on the atom in μB.
Atoms (fractional coordinates):
Mo 0.000 0.000 0.000  0.27
Ir 0.000 0.000 0.500  0.13
Fe 0.500 0.500 0.500  3.19
Ca 0.000 0.500 0.000  -0.02
Ca 0.500 0.000 0.000  -0.02

DFT (PBE) results for an optimized crystal structure of CaFe2IrPd.

formation energy from the elements = 9.8 eV per formula unit
space-group type = P4/mmm
E = -4.64 eV/atom

Unit cell a=4.455 b=4.730 c=4.455 alpha=90.00 beta=90.00 gamma=90.00
Last column: magnetic moment on the atom in μB.
Atoms (fractional coordinates):
Ca 0.000 0.000 0.000  -0.12
Ir 0.000 0.500 0.000  0.51
Fe 0.000 0.000 0.500  2.53
Fe 0.500 0.000 0.000  2.96
Pd 0.500 0.500 0.500  0.18

DFT (PBE) results for an optimized crystal structure of RbCaFeIr2.

formation energy from the elements = 9.2 eV per formula unit
space-group type = P4/mmm
E = -3.98 eV/atom

Unit cell a=5.140 b=5.226 c=5.140 alpha=90.00 beta=90.00 gamma=90.00
Last column: magnetic moment on the atom in μB.
Atoms (fractional coordinates):
Ca 0.000 0.000 0.000  0.05
Ir 0.000 0.000 0.500  -0.60
Ir 0.500 0.000 0.000  -0.45
Fe 0.000 0.500 0.000  -3.13
Rb 0.500 0.500 0.500  0.00

DFT (PBE) results for an optimized crystal structure of CaFeIrS2.

space-group type = P4/mmm
E = -4.10 eV/atom
formation energy from raw total energies = 1.414 eV/atom

Unit cell a=5.002 b=5.064 c=5.002 alpha=90.00 beta=90.00 gamma=90.00
Last column: magnetic moment on the atom in μB.
Atoms (fractional coordinates):
S 0.000 0.000 0.500  -0.04
S 0.500 0.000 0.000  -0.03
Ca 0.000 0.000 0.000  -0.01
Ir 0.000 0.500 0.000  -0.08
Fe 0.500 0.500 0.500  3.45

DFT (PBE) results for an optimized crystal structure of CaFe2IrSe.

space-group type = P4/mmm
E = -5.71 eV/atom
formation energy from raw total energies = 0.547 eV/atom

Unit cell a=4.361 b=4.724 c=4.361 alpha=90.00 beta=90.00 gamma=90.00
Last column: magnetic moment on the atom in μB.
Atoms (fractional coordinates):
Ca 0.500 0.500 0.500  0.00
Ir 0.000 0.500 0.000  -0.03
Fe 0.000 0.000 0.500  0.00
Fe 0.500 0.000 0.000  0.13
Se 0.000 0.000 0.000  0.00

DFT (PBE) results for an optimized crystal structure of CaFeSi2Ir.

space-group type = I-4m2
E = -6.73 eV/atom
formation energy from raw total energies = -0.696 eV/atom

Unit cell a=4.056 b=4.056 c=5.713 alpha=110.80 beta=110.80 gamma=90.00
Atoms (fractional coordinates):
Ca 0.000 0.000 0.000
Fe 0.250 0.750 0.500
Si 0.630 0.630 0.261
Si 0.370 0.370 0.739
Ir 0.750 0.250 0.500

DFT (PBE) results for an optimized crystal structure of Ca2FeSi3Ir4.

space-group type = P-4m2
E = -7.16 eV/atom
formation energy from raw total energies = -0.745 eV/atom

Unit cell a=4.121 b=4.121 c=10.045 alpha=90.00 beta=90.00 gamma=90.00
Last column: magnetic moment on the atom in μB.
Atoms (fractional coordinates):
Ca 0.500 0.000 0.251  0.00
Ca 0.000 0.500 0.749  0.00
Fe 0.500 0.500 0.500  2.57
Si 0.000 0.000 0.500  -0.01
Si 0.500 0.000 0.873  -0.01
Si 0.000 0.500 0.127  -0.01
Ir 0.500 0.500 0.000  0.00
Ir 0.000 0.000 0.000  0.00
Ir 0.500 0.000 0.633  0.12
Ir 0.000 0.500 0.367  0.12

DFT (PBE) results for an optimized crystal structure of Ca2FeSi4Ir3.

space-group type = P-4m2
E = -6.84 eV/atom
formation energy from raw total energies = -0.766 eV/atom

Unit cell a=4.127 b=4.127 c=9.817 alpha=90.00 beta=90.00 gamma=90.00
Atoms (fractional coordinates):
Ca 0.500 0.000 0.256
Ca 0.000 0.500 0.744
Fe 0.500 0.500 0.500
Si 0.500 0.500 0.000
Si 0.000 0.000 0.000
Si 0.500 0.000 0.618
Si 0.000 0.500 0.382
Ir 0.000 0.000 0.500
Ir 0.500 0.000 0.871
Ir 0.000 0.500 0.129

DFT (PBE) results for an optimized crystal structure of KCaFe2.

formation energy from the elements = 2.1 eV per formula unit
space-group type = Cm
E = -4.47 eV/atom

Unit cell a=3.740 b=3.740 c=9.140 alpha=77.99 beta=77.99 gamma=59.99
Atoms (fractional coordinates):
Ca 0.290 0.290 0.127
Fe 0.036 0.036 0.892
Fe 0.703 0.703 0.892
K 0.471 0.471 0.590

DFT (PBE) results for an optimized crystal structure of KCaFe3.

formation energy from the elements = 10.0 eV per formula unit
space-group type = Pm-3m
E = -3.70 eV/atom

Unit cell a=4.951 b=4.951 c=4.951 alpha=90.00 beta=90.00 gamma=90.00
Last column: magnetic moment on the atom in μB.
Atoms (fractional coordinates):
K 0.000 0.000 0.000  -0.02
Ca 0.500 0.500 0.500  -0.06
Fe 0.000 0.500 0.000  2.98
Fe 0.000 0.000 0.500  2.73
Fe 0.500 0.000 0.000  3.06

DFT (PBE) results for an optimized crystal structure of KCaFe2.

formation energy from the elements = 2.8 eV per formula unit
space-group type = Imm2
E = -4.30 eV/atom

Unit cell a=7.512 b=7.512 c=7.512 alpha=154.67 beta=140.60 gamma=47.42
Last column: magnetic moment on the atom in μB.
Atoms (fractional coordinates):
Ca 0.275 0.775 0.500  -0.09
Fe 0.897 0.897 0.000  2.64
Fe 0.783 0.283 0.500  2.38
K 0.545 0.545 0.000  0.00

DFT (PBE) results for an optimized crystal structure of KCaFe2.

formation energy from the elements = 4.6 eV per formula unit
space-group type = Fmmm
E = -3.85 eV/atom

Unit cell a=5.636 b=5.636 c=5.600 alpha=132.35 beta=132.34 gamma=70.21
Last column: magnetic moment on the atom in μB.
Atoms (fractional coordinates):
Ca 0.250 0.750 0.500  -0.14
Fe 0.000 0.000 0.000  2.90
Fe 0.500 0.500 0.000  2.90
K 0.750 0.250 0.500  -0.04

Question: Number 12 is which compound?
Answer: KCaFe2